1.
A plane-wave DFT calculation with PBE was carried out for a relaxed structure of Tc3As.

- DFT total energy (eV per atom) = -8.65
- formation energy from the elements (eV per atom) = 0.29
- symmetry = No. 223
- polymorph energy (0 for the lowest one) (meV/atom) = 319
- volume (Å³ per cell) = 118.03

Unit cell a=4.9053 b=4.9053 c=4.9053 alpha=90.00 beta=90.00 gamma=90.00
Last column: nearest neighbours and their distance in Å.
Atoms (fractional coordinates):
Tc 0.2500 0.5000 0.0000  2 Tc 2.45, 4 As 2.74
Tc 0.0000 0.2500 0.5000  2 Tc 2.45, 4 As 2.74
Tc 0.5000 0.0000 0.2500  2 Tc 2.45, 4 As 2.74
Tc 0.5000 0.0000 0.7500  2 Tc 2.45, 4 As 2.74
As 0.0000 0.0000 0.0000  12 Tc 2.74
Tc 0.0000 0.7500 0.5000  2 Tc 2.45, 4 As 2.74
As 0.5000 0.5000 0.5000  12 Tc 2.74
Tc 0.7500 0.5000 0.0000  2 Tc 2.45, 4 As 2.74

2.
A plane-wave DFT calculation with PBE was carried out for a relaxed structure of TcAs.

- DFT total energy (eV per atom) = -7.30
- formation energy from the elements (eV per atom) = 0.20
- symmetry = No. 70
- polymorph energy (0 for the lowest one) (meV/atom) = 408
- volume (Å³ per cell) = 611.47

Unit cell a=7.1925 b=9.5390 c=8.9124 alpha=90.00 beta=90.00 gamma=90.00
Last column: nearest neighbours and their distance in Å.
Atoms (fractional coordinates):
Tc 0.5000 0.6505 0.5000  4 As 2.43-2.45
As 0.4732 0.2500 0.7500  4 Tc 2.43-2.45
Tc 0.0000 0.6505 0.0000  4 As 2.43-2.45
As 0.7768 0.0000 0.0000  4 Tc 2.43-2.45
Tc 0.2500 0.9005 0.7500  4 As 2.43-2.45
As 0.5268 0.7500 0.7500  4 Tc 2.43-2.45
Tc 0.0000 0.3495 0.0000  4 As 2.43-2.45
As 0.2232 0.0000 0.0000  4 Tc 2.43-2.45
Tc 0.5000 0.3495 0.5000  4 As 2.43-2.45
As 0.5268 0.2500 0.2500  4 Tc 2.43-2.45
Tc 0.0000 0.1505 0.5000  4 As 2.43-2.45
As 0.2232 0.5000 0.5000  4 Tc 2.43-2.45
Tc 0.2500 0.0995 0.2500  4 As 2.43-2.45
As 0.9732 0.2500 0.2500  4 Tc 2.43-2.45
As 0.4732 0.7500 0.2500  4 Tc 2.43-2.45
As 0.7232 0.0000 0.5000  4 Tc 2.43-2.45
Tc 0.7500 0.5995 0.2500  4 As 2.43-2.45
Tc 0.7500 0.0995 0.7500  4 As 2.43-2.45
Tc 0.7500 0.9005 0.2500  4 As 2.43-2.45
Tc 0.2500 0.4005 0.2500  4 As 2.43-2.45
Tc 0.5000 0.8495 0.0000  4 As 2.43-2.45
As 0.7232 0.5000 0.0000  4 Tc 2.43-2.45
As 0.7768 0.5000 0.5000  4 Tc 2.43-2.45
Tc 0.7500 0.4005 0.7500  4 As 2.43-2.45
As 0.2768 0.0000 0.5000  4 Tc 2.43-2.45
As 0.9732 0.7500 0.7500  4 Tc 2.43-2.45
As 0.0268 0.2500 0.7500  4 Tc 2.43-2.45
As 0.2768 0.5000 0.0000  4 Tc 2.43-2.45
Tc 0.0000 0.8495 0.5000  4 As 2.43-2.45
As 0.0268 0.7500 0.2500  4 Tc 2.43-2.45
Tc 0.5000 0.1505 0.0000  4 As 2.43-2.45
Tc 0.2500 0.5995 0.7500  4 As 2.43-2.45

3.
A plane-wave DFT calculation with PBE was carried out for a relaxed structure of Tc2As.

- DFT total energy (eV per atom) = -7.86
- formation energy from the elements (eV per atom) = 0.60
- symmetry = No. 227
- polymorph energy (0 for the lowest one) (meV/atom) = 737
- volume (Å³ per cell) = 97.74

Unit cell a=5.1705 b=5.1705 c=5.1705 alpha=60.00 beta=60.00 gamma=60.00
Last column: nearest neighbours and their distance in Å.
Atoms (fractional coordinates):
Tc 0.1250 0.1250 0.1250  6 Tc 2.59
As 0.7500 0.7500 0.7500  12 Tc 3.03, 4 As 3.17
Tc 0.6250 0.1250 0.1250  6 Tc 2.59
Tc 0.1250 0.6250 0.1250  6 Tc 2.59
Tc 0.1250 0.1250 0.6250  6 Tc 2.59
As 0.5000 0.5000 0.5000  12 Tc 3.03, 4 As 3.17